1.
## Pm3PdI (GGA-PBE)

Data for Pm3PdI after structural relaxation.

Lattice parameters (Å, degrees): 3.975 9.944 8.313 90.00 90.00 90.00
Space group Pmmn (No. 59, origin choice 2)
Unique sites:
1 Pm 0.250 0.064 0.165 [4 per cell]
2 Pm 0.250 0.250 0.764 [2 per cell]
3 Pd 0.250 0.750 0.996 [2 per cell]
4 I 0.250 0.750 0.562 [2 per cell]

Results
Raw total energy ... -23.76 eV per formula unit
V ... 32.86 A^3/atom
Formation energy without anion corrections ... -0.55 eV per atom
Theoretical density ... 6.8 g/cm3

***

2.
## Ho6InS3 (GGA-PBE)

Data for Ho6InS3 after structural relaxation.

Lattice parameters (Å, degrees): 11.363 3.752 12.017 90.00 103.83 90.00
Space group P2_1/m (No. 11)
Unique sites:
1 Ho 0.028 0.250 0.141 [2 per cell]
2 Ho 0.127 0.750 0.453 [2 per cell]
3 Ho 0.202 0.250 0.749 [2 per cell]
4 Ho 0.317 0.750 0.029 [2 per cell]
5 Ho 0.318 0.250 0.276 [2 per cell]
6 Ho 0.418 0.250 0.597 [2 per cell]
7 In 0.451 0.750 0.825 [2 per cell]
8 S 0.038 0.750 0.649 [2 per cell]
9 S 0.137 0.250 0.953 [2 per cell]
10 S 0.358 0.750 0.437 [2 per cell]

Results
Raw total energy ... -54.69 eV per formula unit
V ... 24.87 A^3/atom
Formation energy without anion corrections ... -1.21 eV per atom
Theoretical density ... 8.0 g/cm3

***

3.
## ScNiSb4 (GGA-PBE)

Data for ScNiSb4 after structural relaxation.

Lattice parameters (Å, degrees): 8.571 8.571 8.571 90.00 90.00 90.00
Space group F-43m (No. 216)
Unique sites:
1 Sc 0.000 0.000 0.000 [4 per cell]
2 Ni 0.250 0.250 0.750 [4 per cell]
3 Sb 0.124 0.124 0.376 [16 per cell]

Results
Raw total energy ... -25.70 eV per formula unit
V ... 26.23 A^3/atom
Formation energy without anion corrections ... 0.48 eV per atom
Theoretical density ... 6.2 g/cm3

***

4.
## Ti2NiHIr (GGA-PBE)

Data for Ti2NiHIr after structural relaxation.

Lattice parameters (Å, degrees): 4.080 4.080 3.539 90.00 90.00 90.00
Space group P4/mmm (No. 123)
Unique sites:
1 Ti 0.000 0.500 0.000 [2 per cell]
2 Ni 0.000 0.000 0.500 [1 per cell]
3 H 0.000 0.000 0.000 [1 per cell]
4 Ir 0.500 0.500 0.500 [1 per cell]

Results
Raw total energy ... -36.58 eV per formula unit
V ... 11.78 A^3/atom
Energy relative to the lowest polymorph listed for this composition ... 0.0 meV per atom
Theoretical density ... 9.8 g/cm3

***

5.
## BeNbCr (GGA-PBE)

Data for BeNbCr after structural relaxation.

Lattice parameters (Å, degrees): 3.141 3.141 7.975 90.00 90.00 90.00
Space group I4mm (No. 107)
Unique sites:
1 Be 0.000 0.000 0.000 [2 per cell]
2 Nb 0.000 0.000 0.676 [2 per cell]
3 Cr 0.000 0.000 0.361 [2 per cell]

Results
Raw total energy ... -23.08 eV per formula unit
V ... 13.12 A^3/atom
Calculated formation energy ... 0.11 eV per atom
Energy relative to the lowest polymorph listed for this composition ... 231.8 meV per atom
Theoretical density ... 6.5 g/cm3

***

6.
## YTmIn6 (GGA-PBE)

Data for YTmIn6 after structural relaxation.

Lattice parameters (Å, degrees): 4.626 4.626 9.269 90.00 90.00 90.00
Space group P4/mmm (No. 123)
Unique sites:
1 Y 0.000 0.000 0.000 [1 per cell]
2 Tm 0.000 0.000 0.500 [1 per cell]
3 In 0.000 0.500 0.252 [4 per cell]
4 In 0.500 0.500 0.000 [1 per cell]
5 In 0.500 0.500 0.500 [1 per cell]

Results
Raw total energy ... -30.53 eV per formula unit
V ... 24.79 A^3/atom
Calculated formation energy ... -0.40 eV per atom
Energy relative to the lowest polymorph listed for this composition ... 0.0 meV per atom
Theoretical density ... 7.9 g/cm3

***

7.
## KGeMo3 (GGA-PBE)

Data for KGeMo3 after structural relaxation.

Lattice parameters (Å, degrees): 4.538 4.538 4.538 90.00 90.00 90.00
Space group Pm-3m (No. 221)
Unique sites:
1 K 0.000 0.000 0.000 [1 per cell]
2 Ge 0.500 0.500 0.500 [1 per cell]
3 Mo 0.000 0.000 0.500 [3 per cell]

Results
Raw total energy ... -22.77 eV per formula unit
V ... 18.70 A^3/atom
Calculated formation energy ... 3.09 eV per atom
Energy relative to the lowest polymorph listed for this composition ... 1395.8 meV per atom
Theoretical density ... 7.1 g/cm3

***

8.
## Ba2MgAl2As4 (GGA-PBE)

Data for Ba2MgAl2As4 after structural relaxation.

Lattice parameters (Å, degrees): 15.993 4.097 7.633 90.00 108.69 90.00
Space group C2/m (No. 12)
Unique sites:
1 Ba 0.123 0.000 0.042 [4 per cell]
2 Mg 0.000 0.000 0.500 [2 per cell]
3 Al 0.169 0.500 0.483 [4 per cell]
4 As 0.020 0.500 0.266 [4 per cell]
5 As 0.213 0.000 0.688 [4 per cell]

Results
Raw total energy ... -38.79 eV per formula unit
V ... 26.32 A^3/atom
Calculated formation energy ... -0.81 eV per atom
Theoretical density ... 4.6 g/cm3

***

9.
## Tc2P (GGA-PBE)

Data for Tc2P after structural relaxation.

Lattice parameters (Å, degrees): 2.850 13.346 4.387 90.00 90.00 90.00
Space group Cmcm (No. 63)
Unique sites:
1 Tc 0.000 0.039 0.250 [4 per cell]
2 Tc 0.000 0.293 0.750 [4 per cell]
3 P 0.000 0.374 0.250 [4 per cell]

Results
Raw total energy ... -26.47 eV per formula unit
V ... 13.91 A^3/atom
Calculated formation energy ... -0.11 eV per atom
Energy relative to the lowest polymorph listed for this composition ... 329.3 meV per atom
Theoretical density ... 9.0 g/cm3

***

10.
## CrCu2Rh (GGA-PBE)

Data for CrCu2Rh after structural relaxation.

Lattice parameters (Å, degrees): 5.072 7.407 2.809 90.00 90.00 90.00
Space group Cmmm (No. 65)
Unique sites:
1 Cr 0.000 0.000 0.000 [2 per cell]
2 Cu 0.250 0.250 0.500 [4 per cell]
3 Rh 0.000 0.500 0.000 [2 per cell]

Results
Raw total energy ... -24.34 eV per formula unit
V ... 13.19 A^3/atom
Calculated formation energy ... 0.21 eV per atom
Theoretical density ... 8.9 g/cm3

***

11.
## AsAu2S (GGA-PBE)

Data for AsAu2S after structural relaxation.

Lattice parameters (Å, degrees): 6.292 6.292 9.307 90.00 90.00 90.00
Space group I-42d (No. 122)
Unique sites:
1 As 0.000 0.000 0.000 [4 per cell]
2 Au 0.246 0.250 0.625 [8 per cell]
3 S 0.000 0.000 0.500 [4 per cell]

Results
Raw total energy ... -14.56 eV per formula unit
V ... 23.03 A^3/atom
Formation energy without anion corrections ... 0.19 eV per atom
Theoretical density ... 9.0 g/cm3

***

12.
## Pr2ThBr2N2 (GGA-PBE)

Data for Pr2ThBr2N2 after structural relaxation.

Lattice parameters (Å, degrees): 4.657 4.657 16.401 90.00 90.00 90.00
Space group I4/mmm (No. 139)
Unique sites:
1 Pr 0.000 0.000 0.094 [4 per cell]
2 Th 0.000 0.000 0.500 [2 per cell]
3 Br 0.000 0.000 0.313 [4 per cell]
4 N 0.000 0.500 0.000 [4 per cell]

Results
Raw total energy ... -45.62 eV per formula unit
V ... 25.41 A^3/atom
Formation energy without anion corrections ... -1.24 eV per atom
Theoretical density ... 6.6 g/cm3

***

These records have total magnetization values of 0.01 0.00 0.10 0.00 1.98 0.00 0.00 0.00 0.00 6.54 0.00 2.72 Bohr magnetons per cell, in the order they appear.
These records have N(E_F) values of 6.94 7.26 4.80 4.50 1.40 3.09 11.19 0.46 2.03 5.91 1.87 3.28 states/eV/f.u., in the order they appear.